# PBE Cd2InPb2, optimized geometry
data_Cd2InPb2
_chemical_formula_sum 'Cd4 In2 Pb4'
_symmetry_space_group_name_H-M 'I 4/m m m'
_symmetry_Int_Tables_number 139
_symmetry_space_group_name_Hall '-I 4 2'
_cell_length_a 4.097
_cell_length_b 4.097
_cell_length_c 17.491
_cell_angle_alpha 90.00
_cell_angle_beta 90.00
_cell_angle_gamma 90.00
loop_
_atom_site_label
_atom_site_fract_x
_atom_site_fract_y
_atom_site_fract_z
Cd1 0.000 0.500 0.250
In1 0.000 0.000 0.000
Pb1 0.000 0.000 0.397
# density of states at the Fermi level: 4.2 states/eV per cell
# polymorph energy (0 for the lowest one): 57.5 meV/atom
# energy: -23.02 eV per cell
# V: 29.36 A^3/atom
# formation energy from the elements: 0.09 eV per atom